First-principles (PBE) data for a relaxed structure of GdY2Ga2Hg3Au, as listed in the Open Quantum Materials Database.

a = 4.3023 Å, b = 12.8788 Å, c = 7.4238 Å
α = 90.00°, β = 90.00°, γ = 90.00°
Space group Amm2 (No. 38)
Inequivalent atoms, fractional coordinates:
Gd1 0.0000 0.0000 0.0000 (multiplicity 2)
Y1 0.0000 0.2053 0.6155 (multiplicity 4)
Ga1 0.5000 0.1671 0.9103 (multiplicity 4)
Hg1 0.5000 0.0000 0.6742 (multiplicity 2)
Hg2 0.5000 0.1320 0.2787 (multiplicity 4)
Au1 0.0000 0.0000 0.4112 (multiplicity 2)

The volume is 411 Å³/cell. The value obtained for the total DFT energy (no corrections) is -3.65 eV/atom.